Density functional theory data (PBE) for a geometry-optimized Ba2TbHgTe5 structure.

Values from the calculation:
SG: Cmc2_1
Uncorrected formation energy, meV/atom: -1188

Cell: 4.582 10.525 14.121 Å, 90.00 90.00 102.57°
Atoms (fractional coordinates):
Ba  0.870  0.741  0.820
Ba  0.119  0.239  0.691
Ba  0.130  0.259  0.320
Ba  0.881  0.761  0.191
Tb  0.794  0.588  0.515
Tb  0.206  0.412  0.015
Hg  0.549  0.098  0.941
Hg  0.451  0.902  0.441
Te  0.354  0.708  0.008
Te  0.694  0.388  0.865
Te  0.495  0.991  0.761
Te  0.294  0.587  0.664
Te  0.947  0.893  0.560
Te  0.646  0.292  0.508
Te  0.306  0.612  0.365
Te  0.505  0.009  0.261
Te  0.706  0.413  0.164
Te  0.053  0.107  0.060